## SrVO3 (PBE with a Hubbard U)

Data for a geometry-optimized SrVO3 structure.

a = 3.4809 Å, b = 6.6648 Å, c = 7.3476 Å
α = 90.00°, β = 103.69°, γ = 90.00°
Last column: nearest neighbours and their distance in Å.
Space group P2_1/m (No. 11)
Unique sites:
Sr: 0.1532 0.2500 0.3056  6 O 2.59
V: 0.3984 0.2500 0.7969  3 O 1.71-1.73
O: 0.3309 0.0349 0.6622  1 V 1.73
O: 0.4807 0.7500 0.9632  1 V 1.71

Results
Crystal system: monoclinic
Energy in eV/atom: -6.97